# 1
Density functional theory data (PBE-GGA) for a relaxed MnGaBr3 crystal.

a = 8.7553 Å, b = 3.9673 Å, c = 9.3471 Å
α = 90.00°, β = 103.43°, γ = 90.00°
With the nearest neighbours (Å) after each atom.
Space group P2_1/m (No. 11)
Unique sites:
1 Mn 0.1306 0.2500 0.1647 [2 per cell]  6 Br 2.69-2.73
2 Ga 0.3108 0.2500 0.5754 [2 per cell]  5 Br 2.96-3.29
3 Br 0.0760 0.7500 0.3424 [2 per cell]  2 Mn 2.70
4 Br 0.1770 0.7500 0.9794 [2 per cell]  3 Mn 2.72-2.73
5 Br 0.4351 0.2500 0.3064 [2 per cell]  1 Mn 2.69, 3 Ga 2.96-2.99

Results
distance to the lowest polymorph of the same formula	0.0	kJ/mol of atoms
formation energy from raw total energies	-663	meV/atom
M_tot	5.00	μB/f.u.

***

# 2
Density functional theory data (PBE-GGA) for a relaxed AlFeCo crystal.

a = 6.9524 Å, b = 6.9524 Å, c = 2.5850 Å
α = 90.00°, β = 90.00°, γ = 120.00°
With the nearest neighbours (Å) after each atom.
Space group P-62m (No. 189)
Unique sites:
1 Al 0.0000 0.6965 0.0000 [3 per cell]  4 Fe 2.43-2.47, 2 Al 2.59, 6 Co 2.65-2.69
2 Fe 0.0000 0.0000 0.5000 [1 per cell]  6 Al 2.47, 3 Co 2.48, 2 Fe 2.59
3 Fe 0.3333 0.6667 0.0000 [2 per cell]  3 Al 2.43, 2 Fe 2.59, 6 Co 2.59
4 Co 0.0000 0.3566 0.5000 [3 per cell]  5 Fe 2.48-2.59, 2 Co 2.59, 6 Al 2.65-2.69

Results
distance to the lowest polymorph of the same formula	21.3	kJ/mol of atoms
calculated formation energy	-0.14	eV/atom
M_tot	3.21	μB/f.u.

***

# 3
Density functional theory data (PBE-GGA) for a relaxed LiPrNp2Se4 crystal.

a = 7.1496 Å, b = 4.1368 Å, c = 7.1970 Å
α = 90.00°, β = 109.48°, γ = 90.00°
With the nearest neighbours (Å) after each atom.
Space group P2/m (No. 10)
Unique sites:
1 Li 0.0000 0.0000 0.0000 [1 per cell]  6 Se 2.90
2 Pr 0.5000 0.5000 0.0000 [1 per cell]  6 Se 2.97-2.98
3 Np 0.0000 0.5000 0.5000 [1 per cell]  6 Se 2.88
4 Np 0.5000 0.0000 0.5000 [1 per cell]  6 Se 2.95-2.96
5 Se 0.2387 0.0000 0.7446 [2 per cell]  3 Np 2.88-2.96, 1 Li 2.90, 2 Pr 2.98
6 Se 0.2419 0.5000 0.2495 [2 per cell]  3 Np 2.88-2.95, 2 Li 2.90, 1 Pr 2.97

Results
formation energy from raw total energies	-1329	meV/atom
M_tot	8.87	μB/f.u.

***

# 4
Density functional theory data (PBE-GGA) for a relaxed ZrNbOs crystal.

a = 3.2731 Å, b = 3.2731 Å, c = 10.0633 Å
α = 90.00°, β = 90.00°, γ = 90.00°
With the nearest neighbours (Å) after each atom.
Space group P4mm (No. 99)
Unique sites:
1 Zr 0.0000 0.0000 0.0000 [1 per cell]  4 Os 2.85, 4 Nb 2.95
2 Zr 0.0000 0.0000 0.3268 [1 per cell]  8 Os 2.82-2.87
3 Nb 0.0000 0.0000 0.6506 [1 per cell]  4 Os 2.79, 4 Nb 2.86
4 Nb 0.5000 0.5000 0.8175 [1 per cell]  4 Nb 2.86, 4 Zr 2.95
5 Os 0.5000 0.5000 0.1658 [1 per cell]  8 Zr 2.82-2.85
6 Os 0.5000 0.5000 0.4957 [1 per cell]  4 Nb 2.79, 4 Zr 2.87

Results
distance to the lowest polymorph of the same formula	0.4	kJ/mol of atoms
calculated formation energy	-0.30	eV/atom
M_tot	0.00	μB/f.u.

***

# 5
Density functional theory data (PBE-GGA) for a relaxed TbHoC crystal.

a = 3.7965 Å, b = 12.8680 Å, c = 5.8099 Å
α = 90.00°, β = 90.00°, γ = 90.00°
With the nearest neighbours (Å) after each atom.
Space group Cmc2_1 (No. 36)
Unique sites:
1 Tb 0.0000 0.0403 0.0000 [4 per cell]  1 C 2.29
2 Ho 0.0000 0.3060 0.9780 [4 per cell]  3 C 2.36-2.48
3 C 0.0000 0.1575 0.7046 [4 per cell]  1 Tb 2.29, 3 Ho 2.36-2.48

Results
distance to the lowest polymorph of the same formula	37.3	kJ/mol of atoms
calculated formation energy	0.11	eV/atom
M_tot	0.00	μB/f.u.

***

# 6
Density functional theory data (PBE-GGA) for a relaxed Zr2HgSb crystal.

a = 3.2998 Å, b = 4.2011 Å, c = 6.4953 Å
α = 90.00°, β = 97.93°, γ = 90.00°
With the nearest neighbours (Å) after each atom.
Space group P2/m (No. 10)
Unique sites:
1 Zr 0.0410 0.0000 0.2498 [2 per cell]  2 Sb 2.94, 4 Hg 3.07-3.17, 1 Zr 3.22
2 Hg 0.5000 0.5000 0.0000 [1 per cell]  8 Zr 3.07-3.17, 2 Sb 3.25, 2 Hg 3.30
3 Sb 0.5000 0.5000 0.5000 [1 per cell]  4 Zr 2.94, 2 Hg 3.25

Results
distance to the lowest polymorph of the same formula	1.4	kJ/mol of atoms
formation energy from raw total energies	-339	meV/atom
M_tot	0.00	μB/f.u.

***

# 7
Density functional theory data (PBE-GGA) for a relaxed Ba2PPtC crystal.

a = 5.8107 Å, b = 5.8107 Å, c = 3.6690 Å
α = 90.00°, β = 90.00°, γ = 90.00°
With the nearest neighbours (Å) after each atom.
Space group P4/mmm (No. 123)
Unique sites:
1 Ba 0.0000 0.5000 0.0000 [2 per cell]  2 C 2.91
2 P 0.0000 0.0000 0.5000 [1 per cell]  2 C 1.83
3 Pt 0.5000 0.5000 0.5000 [1 per cell]  8 Ba 3.44, 2 Pt 3.67
4 C 0.0000 0.0000 0.0000 [1 per cell]  2 P 1.83

Results
calculated formation energy	-0.09	eV/atom
M_tot	0.00	μB/f.u.

***

# 8
Density functional theory data (PBE-GGA) for a relaxed Dy2Ga2BRh4 crystal.

a = 6.0542 Å, b = 6.0542 Å, c = 7.9571 Å
α = 90.00°, β = 90.00°, γ = 90.00°
With the nearest neighbours (Å) after each atom.
Space group I4/mmm (No. 139)
Unique sites:
1 Dy 0.0000 0.5000 0.2500 [4 per cell]  8 Rh 2.92, 4 Ga 3.06
2 Ga 0.0000 0.0000 0.1948 [4 per cell]  1 B 2.43, 4 Rh 2.66
3 B 0.0000 0.0000 0.5000 [2 per cell]  4 Rh 2.11
4 Rh 0.2470 0.2470 0.5000 [8 per cell]  1 B 2.11

Results
calculated formation energy	-0.70	eV/atom
M_tot	0.00	μB/f.u.

***

# 9
Density functional theory data (PBE-GGA) for a relaxed Th4AsSe5 crystal.

a = 18.3779 Å, b = 4.2369 Å, c = 8.3767 Å
α = 90.00°, β = 104.48°, γ = 90.00°
With the nearest neighbours (Å) after each atom.
Space group C2/m (No. 12)
Unique sites:
1 Th 0.0003 0.0000 0.2473 [4 per cell]  4 Se 2.94-3.00, 2 As 2.96
2 Th 0.1662 0.5000 0.1005 [4 per cell]  5 Se 2.90-3.01, 1 As 2.96
3 As 0.0000 0.5000 0.0000 [2 per cell]  6 Th 2.96
4 Se 0.0000 0.5000 0.5000 [2 per cell]  4 Th 3.00
5 Se 0.1653 0.0000 0.3366 [4 per cell]  3 Th 2.90-2.94
6 Se 0.1682 0.0000 0.8461 [4 per cell]  4 Th 2.96-3.01

Results
formation energy from raw total energies	-1598	meV/atom
M_tot	0.00	μB/f.u.

***

# 10
Density functional theory data (PBE-GGA) for a relaxed InOsCl2 crystal.

a = 3.3894 Å, b = 3.3894 Å, c = 26.7065 Å
α = 90.00°, β = 90.00°, γ = 120.00°
With the nearest neighbours (Å) after each atom.
Space group R3m (No. 160, hexagonal axes)
Unique sites:
1 In 0.0000 0.0000 0.0000 [3 per cell]  3 Cl 2.71, 3 Os 2.77
2 Os 0.0000 0.0000 0.7398 [3 per cell]  3 Cl 2.49, 3 In 2.77
3 Cl 0.0000 0.0000 0.2634 [3 per cell]  3 In 2.71
4 Cl 0.0000 0.0000 0.4642 [3 per cell]  3 Os 2.49

Results
distance to the lowest polymorph of the same formula	10.6	kJ/mol of atoms
formation energy from raw total energies	122	meV/atom
M_tot	1.05	μB/f.u.

***

# 11
Density functional theory data (PBE-GGA) for a relaxed Zr2MnPdW crystal.

a = 4.9974 Å, b = 4.9974 Å, c = 4.3180 Å
α = 90.00°, β = 90.00°, γ = 90.00°
With the nearest neighbours (Å) after each atom.
Space group P4/mmm (No. 123)
Unique sites:
1 Zr 0.0000 0.5000 0.0000 [2 per cell]  2 Pd 2.50
2 Mn 0.0000 0.0000 0.5000 [1 per cell]  2 Pd 2.16
3 Pd 0.0000 0.0000 0.0000 [1 per cell]  2 Mn 2.16
4 W 0.5000 0.5000 0.5000 [1 per cell]  8 Zr 3.30, 4 Mn 3.53

Results
calculated formation energy	1.34	eV/atom
M_tot	0.01	μB/f.u.

***

# 12
Density functional theory data (PBE-GGA) for a relaxed Y2VRu crystal.

a = 11.2278 Å, b = 5.8797 Å, c = 5.6608 Å
α = 90.00°, β = 103.13°, γ = 90.00°
With the nearest neighbours (Å) after each atom.
Space group C2 (No. 5)
Unique sites:
1 Y 0.0000 0.0000 0.0000 [2 per cell]  2 Ru 2.95, 2 V 3.18
2 Y 0.0000 0.3234 0.5000 [2 per cell]  4 V 3.08-3.22, 4 Ru 3.25-3.26, 2 Y 3.41
3 Y 0.1900 0.5485 0.0998 [4 per cell]  3 Ru 2.95-3.22, 2 V 3.07-3.23
4 V 0.1035 0.8111 0.5333 [4 per cell]  1 V 2.27, 2 Ru 2.34-2.39
5 Ru 0.2306 0.0615 0.3657 [4 per cell]  2 V 2.34-2.39

Results
distance to the lowest polymorph of the same formula	5.1	kJ/mol of atoms
calculated formation energy	-0.06	eV/atom
M_tot	0.00	μB/f.u.

***

# 13
Density functional theory data (PBE-GGA) for a relaxed Ta2GeHOs crystal.

a = 5.0295 Å, b = 5.0295 Å, c = 3.1916 Å
α = 90.00°, β = 90.00°, γ = 90.00°
With the nearest neighbours (Å) after each atom.
Space group P4/mmm (No. 123)
Unique sites:
1 Ta 0.0000 0.5000 0.0000 [2 per cell]  2 Os 2.51
2 Ge 0.0000 0.0000 0.5000 [1 per cell]  8 Ta 2.98, 2 Ge 3.19
3 H 0.5000 0.5000 0.5000 [1 per cell]  2 Os 1.60
4 Os 0.5000 0.5000 0.0000 [1 per cell]  2 H 1.60

Results
M_tot	0.00	μB/f.u.

***

# 14
Density functional theory data (PBE-GGA) for a relaxed CsMnRhCl6 crystal.

a = 6.4312 Å, b = 6.4312 Å, c = 7.8465 Å
α = 90.00°, β = 90.00°, γ = 120.00°
With the nearest neighbours (Å) after each atom.
Space group P312 (No. 149)
Unique sites:
1 Cs 0.0000 0.0000 0.0000 [1 per cell]  6 Cl 3.48
2 Mn 0.3333 0.6667 0.5000 [1 per cell]  6 Cl 2.54
3 Rh 0.6667 0.3333 0.5000 [1 per cell]  6 Cl 2.37
4 Cl 0.3773 0.0200 0.6738 [6 per cell]  1 Rh 2.37, 1 Mn 2.54

Results
formation energy from raw total energies	-1099	meV/atom
M_tot	5.00	μB/f.u.

***

# 15
Density functional theory data (PBE-GGA) for a relaxed Ca5Tl3 crystal.

a = 9.5755 Å, b = 9.5755 Å, c = 6.6695 Å
α = 90.00°, β = 90.00°, γ = 120.00°
With the nearest neighbours (Å) after each atom.
Space group P6_3/mcm (No. 193)
Unique sites:
1 Ca 0.0000 0.2644 0.2500 [6 per cell]  5 Tl 3.30-3.55
2 Ca 0.3333 0.6667 0.0000 [4 per cell]  2 Ca 3.33, 6 Tl 3.39
3 Tl 0.0000 0.3906 0.7500 [6 per cell]  9 Ca 3.30-3.55

Results
distance to the lowest polymorph of the same formula	0.0	kJ/mol of atoms
calculated formation energy	-0.35	eV/atom
M_tot	0.00	μB/f.u.

***

# 16
Density functional theory data (PBE-GGA) for a relaxed CsGeSe2 crystal.

a = 7.0127 Å, b = 4.0409 Å, c = 8.7266 Å
α = 90.00°, β = 105.46°, γ = 90.00°
With the nearest neighbours (Å) after each atom.
Space group C2/m (No. 12)
Unique sites:
1 Cs 0.0000 0.0000 0.0000 [2 per cell]  6 Se 3.60
2 Ge 0.0000 0.5000 0.5000 [2 per cell]  6 Se 2.76
3 Se 0.2244 0.0000 0.6742 [4 per cell]  3 Ge 2.76

Results
formation energy from raw total energies	-492	meV/atom
M_tot	0.00	μB/f.u.

***

no.,DFT total energy (eV/cell)
1,-41.06
2,-59.19
3,-57.14
4,-61.49
5,-72.44
6,-22.88
7,-24.97
8,-115.35
9,-135.46
10,-51.52
11,-37.71
12,-126.21
13,-39.78
14,-38.35
15,-39.84
16,-28.82